# 1
Here is a geometry-optimized Si2BPC structure from Alexandria. Energies are from GGA-PBE.

a b c (Å): 4.488 3.645 4.488
angles (deg): 90.00 90.00 90.00
Atoms (fractional coordinates):
C 0.500 0.500 0.500
P 0.000 0.000 0.000
B 0.000 0.500 0.000
Si 0.000 0.000 0.500
Si 0.500 0.000 0.000

Properties
As for the space-group type: P4/mmm (123). The value obtained for the volume is 73 Å³/f.u. Its theoretical density is 2.5 Mg/m³. The total energy is -4.4284 eV/atom. The energy relative to the elements, uncorrected is 966 kJ/mol of formula units.

# 2
Here is a geometry-optimized Sm4Si2Cl5 structure from Alexandria. Energies are from GGA-PBE.

a b c (Å): 3.988 8.106 11.551
angles (deg): 80.55 99.94 90.00
Atoms (fractional coordinates):
Sm 0.338 0.459 0.676
Sm 0.986 0.277 0.972
Sm 0.662 0.541 0.324
Sm 0.014 0.723 0.028
Cl 0.135 0.783 0.269
Cl 0.865 0.217 0.731
Cl 0.778 0.666 0.555
Cl 0.222 0.334 0.445
Cl 0.500 0.000 0.000
Si 0.450 0.549 0.899
Si 0.550 0.451 0.101

Properties
As for the space-group type: C2/m (12). The value obtained for the volume is 363 Å³/f.u. For the energy relative to the lowest polymorph listed for this composition, the calculation gives 0.000 eV per atom. Its theoretical density is 3.8 Mg/m³. The total energy is -5.0613 eV/atom. The energy relative to the elements, uncorrected is -1613 kJ/mol of formula units.

# 3
Here is a geometry-optimized Pu3CuAg3S8 structure from Alexandria. Energies are from GGA-PBE.

a b c (Å): 7.948 7.834 7.582
angles (deg): 121.25 90.00 120.49
Last column: magnetic moment on the atom in μB.
Atoms (fractional coordinates):
S 0.752 0.005 0.265  -0.20
S 0.776 0.551 0.284  -0.18
S 0.253 0.005 0.265  -0.20
S 0.248 0.995 0.735  -0.20
S 0.750 0.500 0.743  -0.14
S 0.747 0.995 0.735  -0.20
S 0.224 0.449 0.716  -0.18
S 0.250 0.500 0.257  -0.14
Ag 0.000 0.000 0.000  -0.07
Ag 0.500 0.500 0.000  -0.07
Ag 0.000 0.500 0.000  -0.07
Pu 0.500 0.500 0.500  4.73
Pu 0.500 0.000 0.500  4.68
Pu 0.000 0.500 0.500  4.73
Cu 0.000 0.000 0.500  -0.32

Properties
As for the space-group type: C2/m (12). The value obtained for the volume is 325 Å³/f.u. Its theoretical density is 7.0 Mg/m³. The total energy is -6.7197 eV/atom. The energy relative to the elements, uncorrected is -1170 kJ/mol of formula units.

# 4
Here is a geometry-optimized Ba2Sr4Bi3H2 structure from Alexandria. Energies are from GGA-PBE.

a b c (Å): 5.249 5.249 14.248
angles (deg): 100.62 100.62 90.00
Atoms (fractional coordinates):
Ba 0.699 0.699 0.398
Ba 0.301 0.301 0.602
H 0.594 0.594 0.189
H 0.406 0.406 0.811
Sr 0.580 0.080 0.160
Sr 0.420 0.920 0.840
Sr 0.080 0.580 0.160
Sr 0.920 0.420 0.840
Bi 0.831 0.831 0.663
Bi 0.169 0.169 0.337
Bi 0.000 0.000 0.000

Properties
As for the space-group type: I4/mmm (139). The value obtained for the volume is 379 Å³/f.u. Its theoretical density is 5.5 Mg/m³. The total energy is -3.4098 eV/atom.